# 1
Computed, not measured: a relaxed structure of Pu2Cu4S5 at the PBE-GGA level of DFT.

```
Pu2Cu4S5
1.0
1.929 1.114 15.963
-1.929 1.114 15.963
0.000 -2.227 15.963
Pu Cu S
2 4 5
Cartesian
0.000 0.000 6.272
0.000 0.000 41.617
0.000 0.000 14.873
0.000 0.000 19.804
0.000 0.000 28.086
0.000 0.000 33.016
0.000 0.000 11.287
0.000 0.000 17.528
0.000 0.000 23.945
0.000 0.000 30.361
0.000 0.000 36.603
```

# 2
Computed, not measured: a relaxed structure of PuCuS at the PBE-GGA level of DFT.

```
PuCuS
1.0
3.781 0.000 0.000
-1.891 3.275 0.000
0.000 0.000 9.842
Pu Cu S
2 2 2
Cartesian
0.000 0.000 1.868
0.000 0.000 7.974
1.891 1.092 3.723
1.891 1.092 6.119
0.000 0.000 4.921
1.891 1.092 0.000
```

# 3
Computed, not measured: a relaxed structure of Pu3Sc3CuS8 at the PBE-GGA level of DFT.

```
Pu3Sc3CuS8
1.0
6.560 -3.789 0.000
6.560 3.789 0.000
-4.365 0.000 6.208
Pu Sc Cu S
3 3 1 8
Cartesian
0.000 0.000 0.000
3.280 1.894 0.000
3.280 -1.894 0.000
1.097 1.894 3.104
1.097 -1.894 3.104
4.377 0.000 3.104
-2.182 0.000 3.104
3.270 1.879 4.537
0.022 0.000 4.561
2.192 0.000 1.668
5.484 1.879 1.672
3.270 -1.879 4.537
6.563 0.000 4.540
8.733 0.000 1.647
5.484 -1.879 1.672
```

Going through the records in order, we get energy relative to the elements, uncorrected values of -0.80, -0.47, -1.58 eV per atom.